Entry 1:
# BaTa2AsI PBE relaxed
data_BaTa2AsI
_space_group_name_H-M_alt 'P 4/m m m'
_space_group_IT_number 123
_space_group_name_Hall '-P 4 2'
_cell_length_a 5.116
_cell_length_b 5.116
_cell_length_c 5.883
_cell_angle_alpha 90.00
_cell_angle_beta 90.00
_cell_angle_gamma 90.00
loop_
_atom_site_label
_atom_site_type_symbol
_atom_site_fract_x
_atom_site_fract_y
_atom_site_fract_z
_atom_site_occupancy
Ba1 Ba 0.000 0.000 0.000 1
Ta1 Ta 0.000 0.500 0.500 1
As1 As 0.500 0.500 0.000 1
I1 I 0.500 0.500 0.500 1
# * D(E_F): 1.129 states/eV/atom
# * calculated total energy: -4.93 eV/atom
# * formation energy from raw total energies: 1.44 eV/atom
# * V: 153.96 Å³ per cell


Entry 2:
# Na2ZrMo PBE relaxed
data_Na2ZrMo
_space_group_name_H-M_alt 'F m -3 m'
_space_group_IT_number 225
_space_group_name_Hall '-F 4 2 3'
_cell_length_a 7.043
_cell_length_b 7.043
_cell_length_c 7.043
_cell_angle_alpha 90.00
_cell_angle_beta 90.00
_cell_angle_gamma 90.00
loop_
_atom_site_label
_atom_site_type_symbol
_atom_site_fract_x
_atom_site_fract_y
_atom_site_fract_z
_atom_site_occupancy
Na1 Na 0.250 0.250 0.250 1
Zr1 Zr 0.000 0.000 0.000 1
Mo1 Mo 0.000 0.000 0.500 1
# * D(E_F): 0.584 states/eV/atom
# * calculated total energy: -4.18 eV/atom
# * V: 349.34 Å³ per cell
# * calculated formation energy: 1.321 eV/atom
# * distance to the lowest polymorph of the same formula: 0.47 eV/f.u.


Entry 3:
# GaPtBr3 PBE relaxed
data_GaPtBr3
_space_group_name_H-M_alt 'P m -3 m'
_space_group_IT_number 221
_space_group_name_Hall '-P 4 2 3'
_cell_length_a 5.148
_cell_length_b 5.148
_cell_length_c 5.148
_cell_angle_alpha 90.00
_cell_angle_beta 90.00
_cell_angle_gamma 90.00
loop_
_atom_site_label
_atom_site_type_symbol
_atom_site_fract_x
_atom_site_fract_y
_atom_site_fract_z
_atom_site_occupancy
Ga1 Ga 0.000 0.000 0.000 1
Pt1 Pt 0.500 0.500 0.500 1
Br1 Br 0.000 0.000 0.500 1
# * D(E_F): 1.669 states/eV/atom
# * calculated total energy: -2.36 eV/atom
# * formation energy from raw total energies: 0.46 eV/atom
# * V: 136.46 Å³ per cell
# * distance to the lowest polymorph of the same formula: 3.27 eV/f.u.


Entry 4:
# GaSiSb2 PBE relaxed
data_GaSiSb2
_space_group_name_H-M_alt 'F m -3 m'
_space_group_IT_number 225
_space_group_name_Hall '-F 4 2 3'
_cell_length_a 7.102
_cell_length_b 7.102
_cell_length_c 7.102
_cell_angle_alpha 90.00
_cell_angle_beta 90.00
_cell_angle_gamma 90.00
loop_
_atom_site_label
_atom_site_type_symbol
_atom_site_fract_x
_atom_site_fract_y
_atom_site_fract_z
_atom_site_occupancy
Ga1 Ga 0.000 0.000 0.000 1
Si1 Si 0.000 0.000 0.500 1
Sb1 Sb 0.250 0.250 0.250 1
# * D(E_F): 0.485 states/eV/atom
# * calculated total energy: -3.83 eV/atom
# * formation energy from raw total energies: 0.34 eV/atom
# * V: 358.28 Å³ per cell
# * distance to the lowest polymorph of the same formula: 0.64 eV/f.u.


Entry 5:
# PmSmPa PBE relaxed
data_PmSmPa
_space_group_name_H-M_alt 'P 3 m 1'
_space_group_IT_number 156
_space_group_name_Hall 'P 3 -2"'
_cell_length_a 3.4684
_cell_length_b 3.4684
_cell_length_c 8.7307
_cell_angle_alpha 90.00
_cell_angle_beta 90.00
_cell_angle_gamma 120.00
loop_
_atom_site_label
_atom_site_type_symbol
_atom_site_fract_x
_atom_site_fract_y
_atom_site_fract_z
_atom_site_occupancy
Pm1 Pm 0.0000 0.0000 0.0000 1
Sm1 Sm 0.3333 0.6667 0.6312 1
Pa1 Pa 0.6667 0.3333 0.3164 1
# * D(E_F): 1.509 states/eV/atom
# * calculated total energy: -6.16 eV/atom
# * V: 90.96 Å³ per cell
# * calculated formation energy: 0.164 eV/atom
# * distance to the lowest polymorph of the same formula: 0.00 eV/f.u.


Entry 6:
# CdGa12Ag7 PBE relaxed
data_CdGa12Ag7
_space_group_name_H-M_alt 'R -3'
_space_group_IT_number 148
_space_group_name_Hall '-R 3'
_cell_length_a 10.6660
_cell_length_b 10.6660
_cell_length_c 11.5544
_cell_angle_alpha 90.00
_cell_angle_beta 90.00
_cell_angle_gamma 120.00
loop_
_atom_site_label
_atom_site_type_symbol
_atom_site_fract_x
_atom_site_fract_y
_atom_site_fract_z
_atom_site_occupancy
Cd1 Cd 0.0000 0.0000 0.0000 1
Ga1 Ga 0.0263 0.5761 0.6951 1
Ga2 Ga 0.0633 0.4741 0.0898 1
Ag1 Ag 0.0000 0.0000 0.5000 1
Ag2 Ag 0.0342 0.8544 0.7956 1
# * D(E_F): 0.417 states/eV/atom
# * calculated total energy: -2.79 eV/atom
# * V: 1138.35 Å³ per cell
# * calculated formation energy: 0.074 eV/atom


Entry 7:
# Ho6CdIr PBE relaxed
data_Ho6CdIr
_space_group_name_H-M_alt 'P -1'
_space_group_IT_number 2
_space_group_name_Hall '-P 1'
_cell_length_a 6.867
_cell_length_b 6.877
_cell_length_c 7.402
_cell_angle_alpha 90.12
_cell_angle_beta 117.50
_cell_angle_gamma 119.93
loop_
_atom_site_label
_atom_site_type_symbol
_atom_site_fract_x
_atom_site_fract_y
_atom_site_fract_z
_atom_site_occupancy
Ho1 Ho 0.038 0.079 0.254 1
Ho2 Ho 0.295 0.716 0.253 1
Ho3 Ho 0.324 0.541 0.746 1
Cd1 Cd 0.500 0.000 0.000 1
Ir1 Ir 0.500 0.500 0.500 1
# * D(E_F): 1.342 states/eV/atom
# * calculated total energy: -4.77 eV/atom
# * V: 256.13 Å³ per cell
# * calculated formation energy: -0.111 eV/atom


Entry 8:
# Be2Cr2Os PBE relaxed
data_Be2Cr2Os
_space_group_name_H-M_alt 'P 4/m b m'
_space_group_IT_number 127
_space_group_name_Hall '-P 4 2ab'
_cell_length_a 6.030
_cell_length_b 6.030
_cell_length_c 2.904
_cell_angle_alpha 90.00
_cell_angle_beta 90.00
_cell_angle_gamma 90.00
loop_
_atom_site_label
_atom_site_type_symbol
_atom_site_fract_x
_atom_site_fract_y
_atom_site_fract_z
_atom_site_occupancy
Be1 Be 0.123 0.377 0.000 1
Cr1 Cr 0.171 0.671 0.500 1
Os1 Os 0.000 0.000 0.000 1
# * D(E_F): 0.804 states/eV/atom
# * calculated total energy: -7.67 eV/atom
# * V: 105.59 Å³ per cell
# * calculated formation energy: -0.089 eV/atom


Entry 9:
# BaRe3O12 PBE relaxed
data_BaRe3O12
_space_group_name_H-M_alt 'R 3 c'
_space_group_IT_number 161
_space_group_name_Hall 'R 3 -2"c'
_cell_length_a 9.2045
_cell_length_b 9.2045
_cell_length_c 31.4078
_cell_angle_alpha 90.00
_cell_angle_beta 90.00
_cell_angle_gamma 120.00
loop_
_atom_site_label
_atom_site_type_symbol
_atom_site_fract_x
_atom_site_fract_y
_atom_site_fract_z
_atom_site_occupancy
Ba1 Ba 0.0000 0.0000 0.0000 1
Re1 Re 0.0105 0.3390 0.0637 1
O1 O 0.1249 0.3532 0.0177 1
O2 O 0.1462 0.4364 0.1071 1
O3 O 0.2111 0.4235 0.7390 1
O4 O 0.2110 0.4435 0.3878 1
# * D(E_F): 1.000 states/eV/atom
# * calculated total energy: -7.86 eV/atom
# * formation energy from raw total energies: -1.69 eV/atom
# * V: 2304.47 Å³ per cell


Entry 10:
# YCd2Br PBE relaxed
data_YCd2Br
_space_group_name_H-M_alt 'P m m m'
_space_group_IT_number 47
_space_group_name_Hall '-P 2 2'
_cell_length_a 3.668
_cell_length_b 5.396
_cell_length_c 5.689
_cell_angle_alpha 90.00
_cell_angle_beta 90.00
_cell_angle_gamma 90.00
loop_
_atom_site_label
_atom_site_type_symbol
_atom_site_fract_x
_atom_site_fract_y
_atom_site_fract_z
_atom_site_occupancy
Y1 Y 0.000 0.000 0.000 1
Cd1 Cd 0.500 0.500 0.247 1
Br1 Br 0.000 0.000 0.500 1
# * D(E_F): 0.644 states/eV/atom
# * calculated total energy: -2.85 eV/atom
# * formation energy from raw total energies: -0.35 eV/atom
# * V: 112.59 Å³ per cell
# * distance to the lowest polymorph of the same formula: 0.70 eV/f.u.


Entry 11:
# HgRu2Cl PBE relaxed
data_HgRu2Cl
_space_group_name_H-M_alt 'R 3 m'
_space_group_IT_number 160
_space_group_name_Hall 'R 3 -2"'
_cell_length_a 2.9330
_cell_length_b 2.9330
_cell_length_c 29.0427
_cell_angle_alpha 90.00
_cell_angle_beta 90.00
_cell_angle_gamma 120.00
loop_
_atom_site_label
_atom_site_type_symbol
_atom_site_fract_x
_atom_site_fract_y
_atom_site_fract_z
_atom_site_occupancy
Hg1 Hg 0.0000 0.0000 0.0000 1
Ru1 Ru 0.0000 0.0000 0.4853 1
Ru2 Ru 0.0000 0.0000 0.7515 1
Cl1 Cl 0.0000 0.0000 0.2169 1
# * D(E_F): 0.882 states/eV/atom
# * calculated total energy: -4.87 eV/atom
# * formation energy from raw total energies: 0.31 eV/atom
# * V: 216.37 Å³ per cell
# * distance to the lowest polymorph of the same formula: 0.41 eV/f.u.


Entry 12:
# KAg4 PBE relaxed
data_KAg4
_space_group_name_H-M_alt 'I 4/m'
_space_group_IT_number 87
_space_group_name_Hall '-I 4'
_cell_length_a 6.748
_cell_length_b 6.748
_cell_length_c 5.140
_cell_angle_alpha 90.00
_cell_angle_beta 90.00
_cell_angle_gamma 90.00
loop_
_atom_site_label
_atom_site_type_symbol
_atom_site_fract_x
_atom_site_fract_y
_atom_site_fract_z
_atom_site_occupancy
K1 K 0.000 0.000 0.000 1
Ag1 Ag 0.001 0.300 0.500 1
# * D(E_F): 0.269 states/eV/atom
# * calculated total energy: -2.34 eV/atom
# * V: 234.04 Å³ per cell
# * calculated formation energy: 0.162 eV/atom
# * distance to the lowest polymorph of the same formula: 0.23 eV/f.u.


Entry 13:
# Mg3Sn12Pb5 PBE relaxed
data_Mg3Sn12Pb5
_space_group_name_H-M_alt 'I a -3 d'
_space_group_IT_number 230
_space_group_name_Hall '-I 4bd 2c 3'
_cell_length_a 17.566
_cell_length_b 17.566
_cell_length_c 17.566
_cell_angle_alpha 90.00
_cell_angle_beta 90.00
_cell_angle_gamma 90.00
loop_
_atom_site_label
_atom_site_type_symbol
_atom_site_fract_x
_atom_site_fract_y
_atom_site_fract_z
_atom_site_occupancy
Mg1 Mg 0.000 0.250 0.125 1
Sn1 Sn 0.015 0.090 0.653 1
Pb1 Pb 0.000 0.000 0.000 1
Pb2 Pb 0.000 0.250 0.375 1
# * D(E_F): 0.586 states/eV/atom
# * calculated total energy: -3.40 eV/atom
# * V: 5420.45 Å³ per cell
# * calculated formation energy: 0.167 eV/atom


Entry 14:
# BeAsPbAu2 PBE relaxed
data_BeAsPbAu2
_space_group_name_H-M_alt 'P 4/m m m'
_space_group_IT_number 123
_space_group_name_Hall '-P 4 2'
_cell_length_a 5.390
_cell_length_b 5.390
_cell_length_c 4.504
_cell_angle_alpha 90.00
_cell_angle_beta 90.00
_cell_angle_gamma 90.00
loop_
_atom_site_label
_atom_site_type_symbol
_atom_site_fract_x
_atom_site_fract_y
_atom_site_fract_z
_atom_site_occupancy
Be1 Be 0.000 0.000 0.000 1
As1 As 0.500 0.500 0.000 1
Pb1 Pb 0.000 0.000 0.500 1
Au1 Au 0.000 0.500 0.500 1
# * D(E_F): 0.788 states/eV/atom
# * calculated total energy: -2.65 eV/atom
# * V: 130.86 Å³ per cell
# * calculated formation energy: 1.082 eV/atom


Entry 15:
# KZnP2 PBE relaxed
data_KZnP2
_space_group_name_H-M_alt 'C 1 2/m 1'
_space_group_IT_number 12
_space_group_name_Hall '-C 2y'
_cell_length_a 9.482
_cell_length_b 3.320
_cell_length_c 6.142
_cell_angle_alpha 90.00
_cell_angle_beta 97.53
_cell_angle_gamma 90.00
loop_
_atom_site_label
_atom_site_type_symbol
_atom_site_fract_x
_atom_site_fract_y
_atom_site_fract_z
_atom_site_occupancy
K1 K 0.000 0.000 0.000 1
Zn1 Zn 0.000 0.500 0.500 1
P1 P 0.244 0.500 0.375 1
# * D(E_F): 0.326 states/eV/atom
# * calculated total energy: -3.37 eV/atom
# * V: 191.72 Å³ per cell
# * calculated formation energy: -0.070 eV/atom


Entry 16:
# Tb2Sm3Tm5 PBE relaxed
data_Tb2Sm3Tm5
_space_group_name_H-M_alt 'I b a m'
_space_group_IT_number 72
_space_group_name_Hall '-I 2 2c'
_cell_length_a 12.804
_cell_length_b 16.801
_cell_length_c 6.258
_cell_angle_alpha 90.00
_cell_angle_beta 90.00
_cell_angle_gamma 90.00
loop_
_atom_site_label
_atom_site_type_symbol
_atom_site_fract_x
_atom_site_fract_y
_atom_site_fract_z
_atom_site_occupancy
Tb1 Tb 0.105 0.156 0.000 1
Sm1 Sm 0.000 0.000 0.250 1
Sm2 Sm 0.158 0.246 0.500 1
Tm1 Tm 0.000 0.500 0.250 1
Tm2 Tm 0.098 0.345 0.000 1
Tm3 Tm 0.246 0.500 0.250 1
# * D(E_F): 1.630 states/eV/atom
# * calculated total energy: -4.23 eV/atom
# * V: 1346.26 Å³ per cell
# * calculated formation energy: 0.345 eV/atom
# * distance to the lowest polymorph of the same formula: 1.49 eV/f.u.


Entry 17:
# FeCu2Ag2 PBE relaxed
data_FeCu2Ag2
_space_group_name_H-M_alt 'P 4/m b m'
_space_group_IT_number 127
_space_group_name_Hall '-P 4 2ab'
_cell_length_a 6.225
_cell_length_b 6.225
_cell_length_c 3.948
_cell_angle_alpha 90.00
_cell_angle_beta 90.00
_cell_angle_gamma 90.00
loop_
_atom_site_label
_atom_site_type_symbol
_atom_site_fract_x
_atom_site_fract_y
_atom_site_fract_z
_atom_site_occupancy
Fe1 Fe 0.000 0.000 0.000 1
Cu1 Cu 0.134 0.366 0.000 1
Ag1 Ag 0.170 0.670 0.500 1
# * D(E_F): 0.693 states/eV/atom
# * calculated total energy: -4.09 eV/atom
# * V: 152.99 Å³ per cell
# * calculated formation energy: 0.381 eV/atom


Entry 18:
# LiInGaSb PBE relaxed
data_LiInGaSb
_space_group_name_H-M_alt 'F -4 3 m'
_space_group_IT_number 216
_space_group_name_Hall 'F -4 2 3'
_cell_length_a 7.221
_cell_length_b 7.221
_cell_length_c 7.221
_cell_angle_alpha 90.00
_cell_angle_beta 90.00
_cell_angle_gamma 90.00
loop_
_atom_site_label
_atom_site_type_symbol
_atom_site_fract_x
_atom_site_fract_y
_atom_site_fract_z
_atom_site_occupancy
Li1 Li 0.000 0.000 0.000 1
In1 In 0.250 0.250 0.750 1
Ga1 Ga 0.000 0.000 0.500 1
Sb1 Sb 0.250 0.250 0.250 1
# * D(E_F): 0.121 states/eV/atom
# * calculated total energy: -3.07 eV/atom
# * formation energy from raw total energies: -0.12 eV/atom
# * V: 376.57 Å³ per cell


Entry 19:
# LiAl2In2 PBE relaxed
data_LiAl2In2
_space_group_name_H-M_alt 'P 4/m b m'
_space_group_IT_number 127
_space_group_name_Hall '-P 4 2ab'
_cell_length_a 8.230
_cell_length_b 8.230
_cell_length_c 3.308
_cell_angle_alpha 90.00
_cell_angle_beta 90.00
_cell_angle_gamma 90.00
loop_
_atom_site_label
_atom_site_type_symbol
_atom_site_fract_x
_atom_site_fract_y
_atom_site_fract_z
_atom_site_occupancy
Li1 Li 0.000 0.000 0.000 1
Al1 Al 0.120 0.380 0.000 1
In1 In 0.177 0.677 0.500 1
# * D(E_F): 0.335 states/eV/atom
# * calculated total energy: -2.89 eV/atom
# * V: 224.04 Å³ per cell
# * calculated formation energy: 0.090 eV/atom
# * distance to the lowest polymorph of the same formula: 0.09 eV/f.u.


Entry 20:
# LiNd2Th PBE relaxed
data_LiNd2Th
_space_group_name_H-M_alt 'P 4/m m m'
_space_group_IT_number 123
_space_group_name_Hall '-P 4 2'
_cell_length_a 5.872
_cell_length_b 5.872
_cell_length_c 3.629
_cell_angle_alpha 90.00
_cell_angle_beta 90.00
_cell_angle_gamma 90.00
loop_
_atom_site_label
_atom_site_type_symbol
_atom_site_fract_x
_atom_site_fract_y
_atom_site_fract_z
_atom_site_occupancy
Li1 Li 0.000 0.000 0.000 1
Nd1 Nd 0.000 0.500 0.500 1
Th1 Th 0.500 0.500 0.000 1
# * D(E_F): 1.225 states/eV/atom
# * calculated total energy: -4.57 eV/atom
# * V: 125.09 Å³ per cell
# * calculated formation energy: 0.147 eV/atom
# * distance to the lowest polymorph of the same formula: 0.44 eV/f.u.


Entry 21:
# BaZrSe2 PBE relaxed
data_BaZrSe2
_space_group_name_H-M_alt 'P 4/m m m'
_space_group_IT_number 123
_space_group_name_Hall '-P 4 2'
_cell_length_a 3.566
_cell_length_b 3.566
_cell_length_c 7.596
_cell_angle_alpha 90.00
_cell_angle_beta 90.00
_cell_angle_gamma 90.00
loop_
_atom_site_label
_atom_site_type_symbol
_atom_site_fract_x
_atom_site_fract_y
_atom_site_fract_z
_atom_site_occupancy
Ba1 Ba 0.000 0.000 0.000 1
Zr1 Zr 0.000 0.000 0.500 1
Se1 Se 0.500 0.500 0.294 1
# * D(E_F): 0.531 states/eV/atom
# * calculated total energy: -5.64 eV/atom
# * formation energy from raw total energies: -1.28 eV/atom
# * V: 96.58 Å³ per cell
# * distance to the lowest polymorph of the same formula: 0.71 eV/f.u.